Record 1
VASP calculation (GGA-PBE) on an optimized crystal structure of Cd2CuAgH.

**Uncorrected energy**: -0.1689 Ry per atom
**Magnetization**: 0.00 Bohr magnetons per cell
**N(E_F)**: 0.2322 states/eV per atom

Cell: 5.016 5.016 3.159 Å, 90.00 90.00 90.00°
Fractional positions:
1 Cd 0.000 0.500 0.000
2 Cd 0.500 0.000 0.000
3 H 0.000 0.000 0.000
4 Ag 0.500 0.500 0.500
5 Cu 0.000 0.000 0.500

Record 2
VASP calculation (GGA-PBE) on an optimized crystal structure of YScMn2.

**Uncorrected energy**: -0.5624 Ry per atom
**Magnetization**: 0.66 Bohr magnetons per cell
**Formation energy**: 0.53 eV per formula unit
**N(E_F)**: 1.0706 states/eV per atom

Cell: 3.067 3.067 8.210 Å, 90.00 90.00 89.99°
Fractional positions:
1 Mn 0.000 0.000 0.061
2 Y 0.500 0.500 0.801
3 Mn 0.500 0.500 0.207
4 Sc 0.000 0.000 0.431

Record 3
VASP calculation (GGA-PBE) on an optimized crystal structure of Tm3CoTe.

**Offset from the most stable computed form**: 0.113 eV/atom
**Uncorrected energy**: -0.3834 Ry per atom
**Formation energy without anion corrections**: -0.4846 eV/atom
**Magnetization**: 0.00 Bohr magnetons per cell
**N(E_F)**: 0.5900 states/eV per atom

Cell: 3.961 8.404 8.087 Å, 90.00 104.17 90.00°
Fractional positions:
1 Co 0.287 0.469 0.574
2 Tm 0.886 0.402 0.772
3 Te 0.938 0.042 0.875
4 Tm 0.381 0.749 0.763
5 Tm 0.287 0.132 0.574
6 Tm 0.713 0.632 0.426
7 Co 0.713 0.969 0.426
8 Tm 0.114 0.902 0.228
9 Te 0.062 0.542 0.125
10 Tm 0.619 0.249 0.237

Record 4
VASP calculation (GGA-PBE) on an optimized crystal structure of Sm4Y3Sc.

**Offset from the most stable computed form**: 0.000 eV/atom
**Uncorrected energy**: -0.4076 Ry per atom
**Magnetization**: 0.00 Bohr magnetons per cell
**Formation energy**: 0.23 eV per formula unit
**N(E_F)**: 1.3078 states/eV per atom

Cell: 3.564 6.181 22.799 Å, 149.18 94.48 90.00°
Fractional positions:
1 Y 0.749 0.248 0.499
2 Y 0.251 0.752 0.501
3 Sm 0.879 0.397 0.758
4 Sm 0.121 0.603 0.242
5 Y 0.000 0.500 0.000
6 Sm 0.624 0.118 0.248
7 Sm 0.376 0.882 0.752
8 Sc 0.500 0.000 0.000

Record 5
VASP calculation (GGA-PBE) on an optimized crystal structure of Ac2TmTiS6.

**Uncorrected energy**: -0.4724 Ry per atom
**Formation energy without anion corrections**: -1.8931 eV/atom
**Magnetization**: 1.00 Bohr magnetons per cell
**N(E_F)**: 0.4584 states/eV per atom

Cell: 7.096 6.924 7.075 Å, 119.30 121.58 90.00°
Fractional positions:
1 Ac 0.232 0.255 0.510
2 S 0.201 0.697 0.882
3 S 0.799 0.303 0.118
4 S 0.634 0.239 0.478
5 S 0.799 0.814 0.118
6 Tm 0.000 0.500 0.000
7 S 0.366 0.761 0.522
8 Ac 0.768 0.745 0.490
9 S 0.201 0.186 0.882
10 Ti 0.500 0.000 0.000

Record 6
VASP calculation (GGA-PBE) on an optimized crystal structure of Ga7Ag.

**Uncorrected energy**: -0.2194 Ry per atom
**Magnetization**: 0.00 Bohr magnetons per cell
**Formation energy**: 0.16 eV per formula unit
**N(E_F)**: 0.4933 states/eV per atom

Cell: 5.933 5.933 5.933 Å, 60.00 60.00 60.00°
Fractional positions:
1 Ga 0.000 0.000 0.500
2 Ga 0.500 0.500 0.500
3 Ag 0.000 0.000 0.000
4 Ga 0.500 0.000 0.000
5 Ga 0.500 0.000 0.500
6 Ga 0.000 0.500 0.000
7 Ga 0.000 0.500 0.500
8 Ga 0.500 0.500 0.000

Record 7
VASP calculation (GGA-PBE) on an optimized crystal structure of KPaTe4Pt.

**Uncorrected energy**: -0.3582 Ry per atom
**Formation energy without anion corrections**: -0.7019 eV/atom
**Magnetization**: 0.00 Bohr magnetons per cell
**N(E_F)**: 0.6625 states/eV per atom

Cell: 7.440 6.242 9.949 Å, 90.00 106.84 90.00°
Fractional positions:
1 Te 0.549 0.250 0.858
2 Te 0.430 0.750 0.626
3 Pt 0.699 0.250 0.646
4 Te 0.570 0.250 0.374
5 Te 0.014 0.501 0.702
6 Te 0.451 0.750 0.142
7 Pa 0.718 0.750 0.442
8 Pt 0.301 0.750 0.354
9 K 0.213 0.250 0.049
10 K 0.787 0.750 0.951
11 Pa 0.282 0.250 0.558
12 Te 0.014 0.999 0.702
13 Te 0.986 0.499 0.298
14 Te 0.986 0.001 0.298

Record 8
VASP calculation (GGA-PBE) on an optimized crystal structure of La6PrSmEr2.

**Uncorrected energy**: -0.3405 Ry per atom
**Magnetization**: 0.00 Bohr magnetons per cell
**Formation energy**: 1.86 eV per formula unit
**N(E_F)**: 1.9018 states/eV per atom

Cell: 8.953 7.267 6.737 Å, 122.64 100.84 90.00°
Fractional positions:
1 La 0.441 0.641 0.283
2 La 0.801 0.956 0.354
3 Pr 0.000 0.500 0.000
4 La 0.199 0.602 0.646
5 Sm 0.500 0.000 0.000
6 Er 0.160 0.093 0.186
7 La 0.199 0.044 0.646
8 La 0.801 0.398 0.354
9 La 0.559 0.359 0.717
10 Er 0.840 0.907 0.814